DFT (PBE) results for a geometry-optimized SmY2F structure. Values from VASP.

Cell and atoms, written as Quantum ESPRESSO input:
```
&SYSTEM
  ibrav = 0, nat = 4, ntyp = 3
/
ATOMIC_SPECIES
Sm 150.36 Sm.upf
Y 88.91 Y.upf
F 19.00 F.upf
CELL_PARAMETERS angstrom
1.8458 1.0657 8.5988
-1.8458 1.0657 8.5988
0.0000 -2.1313 8.5988
ATOMIC_POSITIONS crystal
Sm 0.0000 0.0000 0.0000
Y 0.2230 0.2230 0.2230
Y 0.7770 0.7770 0.7770
F 0.5000 0.5000 0.5000
```

=====

DFT (PBE) results for a geometry-optimized IrPdW2Se structure. Values from VASP.

Cell and atoms, written as Quantum ESPRESSO input:
```
&SYSTEM
  ibrav = 0, nat = 5, ntyp = 4
/
ATOMIC_SPECIES
Ir 192.22 Ir.upf
Pd 106.42 Pd.upf
W 183.84 W.upf
Se 78.96 Se.upf
CELL_PARAMETERS angstrom
4.7421 0.0000 0.0000
0.0000 4.7421 0.0000
0.0000 0.0000 4.9448
ATOMIC_POSITIONS crystal
Ir 0.0000 0.0000 0.0000
Pd 0.0000 0.0000 0.5000
W 0.0000 0.5000 0.0000
W 0.5000 0.0000 0.0000
Se 0.5000 0.5000 0.5000
```

=====

Number 1: VASP energy -6.018 eV per atom, ΔE_f (raw) -1138.5 meV per atom. Number 2: VASP energy -6.978 eV per atom, ΔE_f (raw) 1710.5 meV per atom.